[1]
! Tb2ZrBi2N2 | the Alexandria database | PBE | optimized geometry; values from VASP
&SYSTEM
  ibrav = 0, nat = 7, ntyp = 4
/
ATOMIC_SPECIES
Tb 158.93 Tb.upf
Zr 91.22 Zr.upf
Bi 208.98 Bi.upf
N 14.01 N.upf
ATOMIC_POSITIONS crystal
Tb 0.095 0.095 0.000
Tb 0.905 0.905 0.000
Zr 0.500 0.500 0.000
Bi 0.308 0.308 0.000
Bi 0.692 0.692 0.000
N 0.000 0.500 0.500
N 0.500 0.000 0.500
CELL_PARAMETERS angstrom
-2.133 2.133 8.287
2.133 -2.133 8.287
2.133 2.133 -8.287
! crystal system	tetragonal
! space-group type	I4/mmm (139)

---

[2]
! Tc5Bi3N12 | the Alexandria database | PBE | optimized geometry; values from VASP
&SYSTEM
  ibrav = 0, nat = 80, ntyp = 3
/
ATOMIC_SPECIES
Tc 98.00 Tc.upf
Bi 208.98 Bi.upf
N 14.01 N.upf
ATOMIC_POSITIONS crystal
Tc 0.000 0.000 0.000
Tc 0.000 0.000 0.500
Tc 0.000 0.500 0.000
Tc 0.000 0.500 0.500
Tc 0.125 0.750 0.875
Tc 0.125 0.875 0.250
Tc 0.250 0.125 0.875
Tc 0.250 0.625 0.375
Tc 0.375 0.250 0.625
Tc 0.375 0.625 0.750
Tc 0.500 0.000 0.000
Tc 0.500 0.000 0.500
Tc 0.500 0.500 0.000
Tc 0.500 0.500 0.500
Tc 0.625 0.375 0.250
Tc 0.625 0.750 0.375
Tc 0.750 0.375 0.625
Tc 0.750 0.875 0.125
Tc 0.875 0.125 0.750
Tc 0.875 0.250 0.125
Bi 0.125 0.250 0.375
Bi 0.125 0.375 0.750
Bi 0.250 0.375 0.125
Bi 0.250 0.875 0.625
Bi 0.375 0.125 0.250
Bi 0.375 0.750 0.125
Bi 0.625 0.250 0.875
Bi 0.625 0.875 0.750
Bi 0.750 0.125 0.375
Bi 0.750 0.625 0.875
Bi 0.875 0.625 0.250
Bi 0.875 0.750 0.625
N 0.011 0.193 0.113
N 0.011 0.318 0.898
N 0.080 0.693 0.682
N 0.080 0.887 0.398
N 0.102 0.613 0.420
N 0.102 0.989 0.682
N 0.113 0.011 0.193
N 0.113 0.602 0.920
N 0.182 0.193 0.580
N 0.182 0.489 0.602
N 0.193 0.113 0.011
N 0.193 0.580 0.182
N 0.307 0.318 0.920
N 0.307 0.489 0.387
N 0.318 0.898 0.011
N 0.318 0.920 0.307
N 0.387 0.307 0.489
N 0.387 0.580 0.898
N 0.398 0.080 0.887
N 0.398 0.818 0.511
N 0.420 0.102 0.613
N 0.420 0.818 0.807
N 0.489 0.387 0.307
N 0.489 0.602 0.182
N 0.511 0.398 0.818
N 0.511 0.613 0.693
N 0.580 0.182 0.193
N 0.580 0.898 0.387
N 0.602 0.182 0.489
N 0.602 0.920 0.113
N 0.613 0.420 0.102
N 0.613 0.693 0.511
N 0.682 0.080 0.693
N 0.682 0.102 0.989
N 0.693 0.511 0.613
N 0.693 0.682 0.080
N 0.807 0.420 0.818
N 0.807 0.887 0.989
N 0.818 0.511 0.398
N 0.818 0.807 0.420
N 0.887 0.398 0.080
N 0.887 0.989 0.807
N 0.898 0.011 0.318
N 0.898 0.387 0.580
N 0.920 0.113 0.602
N 0.920 0.307 0.318
N 0.989 0.682 0.102
N 0.989 0.807 0.887
CELL_PARAMETERS angstrom
-6.455 6.455 6.455
6.455 -6.455 6.455
6.455 6.455 -6.455
! crystal system	cubic
! space-group type	Ia-3d (230)

---

[3]
! Tc2BiN | the Alexandria database | PBE | optimized geometry; values from VASP
&SYSTEM
  ibrav = 0, nat = 8, ntyp = 3
/
ATOMIC_SPECIES
Tc 98.00 Tc.upf
Bi 208.98 Bi.upf
N 14.01 N.upf
ATOMIC_POSITIONS crystal
Tc 0.375 0.244 0.369
Tc 0.756 0.125 0.131
Tc 0.875 0.006 0.631
Tc 0.994 0.625 0.869
Bi 0.250 0.750 0.500
Bi 0.500 0.500 0.000
N 0.000 0.000 0.000
N 0.750 0.250 0.500
CELL_PARAMETERS angstrom
-2.800 2.800 4.629
2.800 -2.800 4.629
2.800 2.800 -4.629
! crystal system	tetragonal
! space-group type	I-42d (122)

---

[4]
! Tc2BiN | the Alexandria database | PBE | optimized geometry; values from VASP
&SYSTEM
  ibrav = 0, nat = 4, ntyp = 3
/
ATOMIC_SPECIES
Tc 98.00 Tc.upf
Bi 208.98 Bi.upf
N 14.01 N.upf
ATOMIC_POSITIONS crystal
Tc 0.250 0.250 0.250
Tc 0.750 0.750 0.750
Bi 0.000 0.000 0.000
N 0.500 0.500 0.500
CELL_PARAMETERS angstrom
0.000 3.131 3.131
3.131 0.000 3.131
3.131 3.131 0.000
! crystal system	cubic
! space-group type	Fm-3m (225)

---

[5]
! TcBiN2 | the Alexandria database | PBE | optimized geometry; values from VASP
&SYSTEM
  ibrav = 0, nat = 4, ntyp = 3
/
ATOMIC_SPECIES
Tc 98.00 Tc.upf
Bi 208.98 Bi.upf
N 14.01 N.upf
ATOMIC_POSITIONS crystal
Tc 0.000 0.000 0.000
Bi 0.500 0.500 0.500
N 0.385 0.385 0.385
N 0.615 0.615 0.615
CELL_PARAMETERS angstrom
1.558 0.899 6.999
-1.558 0.899 6.999
0.000 -1.799 6.999
! crystal system	trigonal
! space-group type	R-3m (166)

---

[6]
! TcBiN2 | the Alexandria database | PBE | optimized geometry; values from VASP
&SYSTEM
  ibrav = 0, nat = 4, ntyp = 3
/
ATOMIC_SPECIES
Tc 98.00 Tc.upf
Bi 208.98 Bi.upf
N 14.01 N.upf
ATOMIC_POSITIONS crystal
Tc 0.000 0.000 0.000
Bi 0.500 0.500 0.500
N 0.096 0.096 0.096
N 0.904 0.904 0.904
CELL_PARAMETERS angstrom
1.708 0.986 6.498
-1.708 0.986 6.498
0.000 -1.972 6.498
! crystal system	trigonal
! space-group type	R-3m (166)

---

[7]
! TcBiN2 | the Alexandria database | PBE | optimized geometry; values from VASP
&SYSTEM
  ibrav = 0, nat = 8, ntyp = 3
/
ATOMIC_SPECIES
Tc 98.00 Tc.upf
Bi 208.98 Bi.upf
N 14.01 N.upf
ATOMIC_POSITIONS crystal
Tc 0.000 0.000 0.000
Tc 0.750 0.250 0.500
Bi 0.250 0.750 0.500
Bi 0.500 0.500 0.000
N 0.014 0.625 0.889
N 0.375 0.264 0.389
N 0.736 0.125 0.111
N 0.875 0.986 0.611
CELL_PARAMETERS angstrom
-2.675 2.675 4.604
2.675 -2.675 4.604
2.675 2.675 -4.604
! crystal system	tetragonal
! space-group type	I-42d (122)

---

[8]
! TlTc2BiN | the Alexandria database | PBE | optimized geometry; values from VASP
&SYSTEM
  ibrav = 0, nat = 5, ntyp = 4
/
ATOMIC_SPECIES
Tl 204.38 Tl.upf
Tc 98.00 Tc.upf
Bi 208.98 Bi.upf
N 14.01 N.upf
ATOMIC_POSITIONS crystal
Tl 0.000 0.000 0.000
Tc 0.000 0.500 0.500
Tc 0.500 0.000 0.500
Bi 0.000 0.000 0.500
N 0.500 0.500 0.000
CELL_PARAMETERS angstrom
5.177 0.000 0.000
0.000 5.177 0.000
0.000 0.000 6.272
! crystal system	tetragonal
! space-group type	P4/mmm (123)

---

[9]
! TcBi2WN | the Alexandria database | PBE | optimized geometry; values from VASP
&SYSTEM
  ibrav = 0, nat = 5, ntyp = 4
/
ATOMIC_SPECIES
Tc 98.00 Tc.upf
Bi 208.98 Bi.upf
W 183.84 W.upf
N 14.01 N.upf
ATOMIC_POSITIONS crystal
Tc 0.000 0.000 0.000
Bi 0.000 0.500 0.000
Bi 0.500 0.000 0.000
W 0.500 0.500 0.500
N 0.000 0.000 0.500
CELL_PARAMETERS angstrom
5.503 0.000 0.000
0.000 5.503 0.000
0.000 0.000 3.689
! crystal system	tetragonal
! space-group type	P4/mmm (123)

---

[10]
! Bi4Te3N2 | the Alexandria database | PBE | optimized geometry; values from VASP
&SYSTEM
  ibrav = 0, nat = 9, ntyp = 3
/
ATOMIC_SPECIES
Bi 208.98 Bi.upf
Te 127.60 Te.upf
N 14.01 N.upf
ATOMIC_POSITIONS crystal
Bi 0.137 0.137 0.426
Bi 0.315 0.315 0.873
Bi 0.685 0.685 0.127
Bi 0.863 0.863 0.574
Te 0.000 0.000 0.000
Te 0.362 0.362 0.276
Te 0.638 0.638 0.724
N 0.307 0.307 0.630
N 0.693 0.693 0.370
CELL_PARAMETERS angstrom
7.721 -2.064 0.000
7.721 2.064 0.000
-5.253 0.000 8.107
! crystal system	monoclinic
! space-group type	C2/m (12)

---

[11]
! Bi4Te3N2 | the Alexandria database | PBE | optimized geometry; values from VASP
&SYSTEM
  ibrav = 0, nat = 18, ntyp = 3
/
ATOMIC_SPECIES
Bi 208.98 Bi.upf
Te 127.60 Te.upf
N 14.01 N.upf
ATOMIC_POSITIONS crystal
Bi 0.193 0.061 0.000
Bi 0.204 0.857 0.500
Bi 0.296 0.357 0.000
Bi 0.307 0.561 0.500
Bi 0.693 0.439 0.500
Bi 0.704 0.643 0.000
Bi 0.796 0.143 0.500
Bi 0.807 0.939 0.000
Te 0.000 0.500 0.000
Te 0.162 0.217 0.500
Te 0.338 0.717 0.000
Te 0.500 0.000 0.500
Te 0.662 0.283 0.000
Te 0.838 0.783 0.500
N 0.109 0.926 0.000
N 0.391 0.426 0.500
N 0.609 0.574 0.500
N 0.891 0.074 0.000
CELL_PARAMETERS angstrom
7.664 0.000 0.000
0.000 16.379 0.000
0.000 0.000 4.133
! crystal system	orthorhombic
! space-group type	Pnnm (58)

---

[12]
! BiTe2N2 | the Alexandria database | PBE | optimized geometry; values from VASP
&SYSTEM
  ibrav = 0, nat = 5, ntyp = 3
/
ATOMIC_SPECIES
Bi 208.98 Bi.upf
Te 127.60 Te.upf
N 14.01 N.upf
ATOMIC_POSITIONS crystal
Bi 0.000 0.000 0.000
Te 0.338 0.537 0.873
Te 0.662 0.463 0.127
N 0.081 0.437 0.520
N 0.919 0.563 0.480
CELL_PARAMETERS angstrom
4.458 0.000 0.000
-1.134 4.312 0.000
-1.578 -2.167 11.433
! crystal system	triclinic
! space-group type	P-1 (2)

---

[13]
! BiTe2N2 | the Alexandria database | PBE | optimized geometry; values from VASP
&SYSTEM
  ibrav = 0, nat = 5, ntyp = 3
/
ATOMIC_SPECIES
Bi 208.98 Bi.upf
Te 127.60 Te.upf
N 14.01 N.upf
ATOMIC_POSITIONS crystal
Bi 0.000 0.000 0.000
Te 0.000 0.500 0.500
Te 0.500 0.000 0.500
N 0.500 0.500 0.000
N 0.500 0.500 0.500
CELL_PARAMETERS angstrom
4.709 0.000 0.000
0.000 4.709 0.000
0.000 0.000 4.461
! crystal system	tetragonal
! space-group type	P4/mmm (123)

---

[14]
! BiTeN | the Alexandria database | PBE | optimized geometry; values from VASP
&SYSTEM
  ibrav = 0, nat = 6, ntyp = 3
/
ATOMIC_SPECIES
Bi 208.98 Bi.upf
Te 127.60 Te.upf
N 14.01 N.upf
ATOMIC_POSITIONS crystal
Bi 0.250 0.250 0.114
Bi 0.750 0.750 0.886
Te 0.250 0.250 0.545
Te 0.750 0.750 0.455
N 0.250 0.750 0.000
N 0.750 0.250 0.000
CELL_PARAMETERS angstrom
4.084 0.000 0.000
0.000 4.084 0.000
0.000 0.000 9.798
! crystal system	tetragonal
! space-group type	P4/nmm (129)

---

[15]
! BiTe2N | the Alexandria database | PBE | optimized geometry; values from VASP
&SYSTEM
  ibrav = 0, nat = 4, ntyp = 3
/
ATOMIC_SPECIES
Bi 208.98 Bi.upf
Te 127.60 Te.upf
N 14.01 N.upf
ATOMIC_POSITIONS crystal
Bi 0.000 0.000 0.000
Te 0.416 0.416 0.416
Te 0.584 0.584 0.584
N 0.500 0.500 0.500
CELL_PARAMETERS angstrom
2.286 1.320 7.687
-2.286 1.320 7.687
0.000 -2.640 7.687
! crystal system	trigonal
! space-group type	R-3m (166)

---

[16]
! BiTe2N2 | the Alexandria database | PBE | optimized geometry; values from VASP
&SYSTEM
  ibrav = 0, nat = 5, ntyp = 3
/
ATOMIC_SPECIES
Bi 208.98 Bi.upf
Te 127.60 Te.upf
N 14.01 N.upf
ATOMIC_POSITIONS crystal
Bi 0.000 0.000 0.000
Te 0.000 0.000 0.500
Te 0.500 0.500 0.500
N 0.000 0.500 0.000
N 0.500 0.000 0.000
CELL_PARAMETERS angstrom
4.370 0.000 0.000
0.000 4.370 0.000
0.000 0.000 7.144
! crystal system	tetragonal
! space-group type	P4/mmm (123)

---

[17]
! BiTe2N2 | the Alexandria database | PBE | optimized geometry; values from VASP
&SYSTEM
  ibrav = 0, nat = 5, ntyp = 3
/
ATOMIC_SPECIES
Bi 208.98 Bi.upf
Te 127.60 Te.upf
N 14.01 N.upf
ATOMIC_POSITIONS crystal
Bi 0.000 0.000 0.000
Te 0.500 0.500 0.000
Te 0.500 0.500 0.500
N 0.000 0.500 0.500
N 0.500 0.000 0.500
CELL_PARAMETERS angstrom
4.279 0.000 0.000
0.000 4.279 0.000
0.000 0.000 5.904
! crystal system	tetragonal
! space-group type	P4/mmm (123)

---

[18]
! BiTeN | the Alexandria database | PBE | optimized geometry; values from VASP
&SYSTEM
  ibrav = 0, nat = 12, ntyp = 3
/
ATOMIC_SPECIES
Bi 208.98 Bi.upf
Te 127.60 Te.upf
N 14.01 N.upf
ATOMIC_POSITIONS crystal
Bi 0.138 0.250 0.156
Bi 0.138 0.250 0.656
Bi 0.862 0.750 0.344
Bi 0.862 0.750 0.844
Te 0.119 0.750 0.395
Te 0.119 0.750 0.895
Te 0.881 0.250 0.105
Te 0.881 0.250 0.605
N 0.498 0.082 0.454
N 0.498 0.418 0.954
N 0.502 0.582 0.046
N 0.502 0.918 0.546
CELL_PARAMETERS angstrom
12.154 0.000 0.000
0.000 4.613 0.000
-1.467 0.000 8.799
! crystal system	monoclinic
! space-group type	P2_1/c (14)

---

[19]
! BiTeN | the Alexandria database | PBE | optimized geometry; values from VASP
&SYSTEM
  ibrav = 0, nat = 6, ntyp = 3
/
ATOMIC_SPECIES
Bi 208.98 Bi.upf
Te 127.60 Te.upf
N 14.01 N.upf
ATOMIC_POSITIONS crystal
Bi 0.250 0.250 0.101
Bi 0.750 0.750 0.899
Te 0.249 0.226 0.705
Te 0.751 0.774 0.295
N 0.251 0.003 0.314
N 0.749 0.997 0.686
CELL_PARAMETERS angstrom
3.284 0.000 0.000
-0.002 5.851 0.000
-0.009 -0.936 8.035
! crystal system	triclinic
! space-group type	P-1 (2)

---

[20]
! BiTe2N | the Alexandria database | PBE | optimized geometry; values from VASP
&SYSTEM
  ibrav = 0, nat = 8, ntyp = 3
/
ATOMIC_SPECIES
Bi 208.98 Bi.upf
Te 127.60 Te.upf
N 14.01 N.upf
ATOMIC_POSITIONS crystal
Bi 0.000 0.000 0.000
Bi 0.750 0.250 0.500
Te 0.250 0.625 0.125
Te 0.375 0.500 0.625
Te 0.500 0.125 0.875
Te 0.875 0.750 0.375
N 0.250 0.750 0.500
N 0.500 0.500 0.000
CELL_PARAMETERS angstrom
-3.198 3.198 5.665
3.198 -3.198 5.665
3.198 3.198 -5.665
! crystal system	tetragonal
! space-group type	I-42d (122)

---

Summary of total energy in eV per atom
-7.006, -7.803, -7.787, -6.778, -7.207, -6.772, -7.280, -4.245, -6.697, -4.509, -4.391, -5.305, -3.919, -4.685, -3.915, -3.893, -3.970, -5.091, -4.425, -3.919
(order as listed above)
Summary of magnetic moment in μB per cell
0.000, 0.001, 0.000, 0.000, 0.289, 0.000, 0.000, 5.677, 3.137, 0.000, 0.000, 0.280, 1.183, 0.000, 0.000, 2.056, 0.000, 0.000, 0.000, 0.000
(order as listed above)